(1)
The following is a DFT calculation (PBE-GGA) of a relaxed structure of Tb4Dy2Sc.

Properties
formation energy from the elements	0.14	eV per atom
spin magnetization	0.00	μB/f.u.
Fermi-level density of states	1.678	states/eV/atom
distance to the lowest polymorph of the same formula	0	meV per atom
uncorrected energy	-4.72	eV per atom

extended XYZ file:
```
14
Lattice="6.0490 0.0000 0.0000 0.0000 6.5093 0.0000 -2.9101 0.0000 10.9874" Properties=species:S:1:pos:R:3 pbc="T T T"
Tb -0.8539 1.6273 4.0503
Tb -1.8281 1.6273 10.3521
Tb 1.5240 3.2973 2.3483
Tb 1.5240 6.4667 2.3483
Tb 1.6149 0.0426 8.6390
Tb 1.6149 3.2120 8.6390
Tb 4.9671 4.8820 0.6352
Tb 3.9929 4.8820 6.9370
Dy -0.9824 4.8820 10.1309
Dy 0.8984 4.8820 5.4983
Dy 2.2406 1.6273 5.4891
Dy 4.1214 1.6273 0.8565
Sc -1.0159 1.6273 7.2853
Sc 4.1549 4.8820 3.7020
```

(2)
The following is a DFT calculation (PBE-GGA) of a relaxed structure of Tb5Dy5Sc.

Properties
formation energy from the elements	0.36	eV per atom
spin magnetization	0.00	μB/f.u.
Fermi-level density of states	1.809	states/eV/atom
uncorrected energy	-4.41	eV per atom

extended XYZ file:
```
11
Lattice="6.0204 0.0000 0.0000 -3.0102 5.2138 0.0000 0.0000 0.0000 11.4306" Properties=species:S:1:pos:R:3 pbc="T T T"
Tb 0.0000 0.0000 2.6974
Tb 0.0000 0.0000 8.7333
Tb 1.5237 0.8797 0.0000
Tb 4.4966 0.8797 0.0000
Tb 3.0102 3.4543 0.0000
Dy 0.0000 0.0000 5.7153
Dy 0.0000 3.4759 2.1755
Dy 0.0000 3.4759 9.2551
Dy 3.0102 1.7379 3.9300
Dy 3.0102 1.7379 7.5007
Sc 0.0000 3.4759 5.7153
```

(3)
The following is a DFT calculation (PBE-GGA) of a relaxed structure of TbDySc2.

Properties
formation energy from the elements	0.05	eV per atom
spin magnetization	0.00	μB/f.u.
Fermi-level density of states	1.727	states/eV/atom
distance to the lowest polymorph of the same formula	6	meV per atom
uncorrected energy	-5.42	eV per atom

extended XYZ file:
```
4
Lattice="3.4691 -4.6506 0.0000 3.4691 4.6506 0.0000 0.0000 0.0000 3.4590" Properties=species:S:1:pos:R:3 pbc="T T T"
Tb 0.0000 0.0000 0.0000
Dy 3.4691 0.0000 0.0000
Sc 1.7346 2.3253 1.7295
Sc 1.7346 -2.3253 1.7295
```

(4)
The following is a DFT calculation (PBE-GGA) of a relaxed structure of Tb2Dy5Sc4.

Properties
formation energy from the elements	0.17	eV per atom
spin magnetization	0.00	μB/f.u.
Fermi-level density of states	1.618	states/eV/atom
distance to the lowest polymorph of the same formula	52	meV per atom
uncorrected energy	-5.07	eV per atom

extended XYZ file:
```
11
Lattice="-1.6972 4.3300 11.2320 1.6972 -4.3300 11.2320 1.6972 4.3300 -11.2320" Properties=species:S:1:pos:R:3 pbc="T T T"
Tb 0.0000 0.0000 5.1818
Tb 0.0000 0.0000 17.2821
Dy 1.6972 2.5923 -3.1550
Dy 1.6972 2.5923 3.1550
Dy 0.0000 4.3300 0.0000
Dy 0.0000 1.7377 8.0769
Dy 0.0000 1.7377 14.3870
Sc 0.0000 0.0000 2.1175
Sc 1.6972 1.5427 0.0000
Sc 0.0000 2.7873 11.2320
Sc 0.0000 0.0000 20.3464
```

(5)
The following is a DFT calculation (PBE-GGA) of a relaxed structure of Tb2Dy2Sc7.

Properties
formation energy from the elements	0.13	eV per atom
spin magnetization	0.00	μB/f.u.
Fermi-level density of states	1.561	states/eV/atom
uncorrected energy	-5.57	eV per atom

extended XYZ file:
```
11
Lattice="3.2337 -5.1027 0.0000 3.2337 5.1027 0.0000 -0.0910 0.0000 9.1007" Properties=species:S:1:pos:R:3 pbc="T T T"
Tb 1.1435 0.0000 2.2960
Tb 5.2330 0.0000 6.8047
Dy 3.1883 2.9562 4.5504
Dy 3.1883 -2.9562 4.5504
Sc 2.2065 2.9863 1.3140
Sc 2.1621 0.0000 5.7917
Sc 4.1700 2.9863 7.7867
Sc 3.2337 0.0000 0.0000
Sc 2.2065 -2.9863 1.3140
Sc 4.2144 0.0000 3.3091
Sc 4.1700 -2.9863 7.7867
```

(6)
The following is a DFT calculation (PBE-GGA) of a relaxed structure of Tb2Dy3Sc.

Properties
formation energy from the elements	0.14	eV per atom
spin magnetization	0.00	μB/f.u.
Fermi-level density of states	1.709	states/eV/atom
distance to the lowest polymorph of the same formula	14	meV per atom
uncorrected energy	-4.75	eV per atom

extended XYZ file:
```
12
Lattice="8.7327 -1.7162 0.0000 8.7327 1.7162 0.0000 -6.4075 0.0000 12.4226" Properties=species:S:1:pos:R:3 pbc="T T T"
Tb -0.2959 0.0000 5.8389
Tb 4.8223 0.0000 1.4964
Tb 6.2355 0.0000 10.9262
Tb 11.3537 0.0000 6.5837
Dy 1.5632 0.0000 0.3260
Dy 2.3352 0.0000 3.6431
Dy 3.0766 0.0000 9.7168
Dy 7.9812 0.0000 2.7057
Dy 8.7226 0.0000 8.7795
Dy 9.4947 0.0000 12.0966
Sc -3.0059 0.0000 7.9670
Sc 14.0637 0.0000 4.4556
```

(7)
The following is a DFT calculation (PBE-GGA) of a relaxed structure of TbDy2Sc7.

Properties
formation energy from the elements	0.06	eV per atom
spin magnetization	0.00	μB/f.u.
Fermi-level density of states	1.663	states/eV/atom
distance to the lowest polymorph of the same formula	0	meV per atom
uncorrected energy	-5.76	eV per atom

extended XYZ file:
```
10
Lattice="5.7652 0.0000 0.0000 -0.9905 5.7161 0.0000 -2.8630 -2.4274 8.0149" Properties=species:S:1:pos:R:3 pbc="T T T"
Tb 0.0000 0.0000 0.0000
Dy 0.0017 2.9437 1.6554
Dy 1.9100 0.3450 6.3595
Sc -1.9268 1.6444 4.0074
Sc -0.9464 -1.1483 5.5732
Sc -0.9590 1.8153 7.1891
Sc 0.9660 0.1702 3.2323
Sc 0.9458 3.1185 4.7826
Sc 2.8707 1.4734 0.8257
Sc 2.8581 4.4370 2.4417
```

(8)
The following is a DFT calculation (PBE-GGA) of a relaxed structure of Tb4Dy3Sc5.

Properties
formation energy from the elements	0.24	eV per atom
spin magnetization	0.67	μB/f.u.
Fermi-level density of states	1.658	states/eV/atom
uncorrected energy	-5.09	eV per atom

extended XYZ file:
```
12
Lattice="7.6870 -2.8438 0.0000 7.6870 2.8438 0.0000 -4.6037 0.0000 8.0440" Properties=species:S:1:pos:R:3 pbc="T T T"
Tb -0.7156 0.0000 3.5824
Tb -0.8416 0.0000 7.1038
Tb 11.6119 0.0000 0.9402
Tb 11.4859 0.0000 4.4616
Dy 2.2963 0.0000 2.0932
Dy 7.6870 0.0000 0.0000
Dy 8.4740 0.0000 5.9508
Sc 0.0000 0.0000 0.0000
Sc 2.1927 0.0000 5.1287
Sc 5.3631 0.0000 2.4040
Sc 5.4072 0.0000 5.6400
Sc 8.5776 0.0000 2.9153
```

(9)
The following is a DFT calculation (PBE-GGA) of a relaxed structure of TbDy3Sc3.

Properties
formation energy from the elements	0.03	eV per atom
spin magnetization	0.01	μB/f.u.
Fermi-level density of states	2.050	states/eV/atom
distance to the lowest polymorph of the same formula	0	meV per atom
uncorrected energy	-5.32	eV per atom

extended XYZ file:
```
14
Lattice="9.2215 0.0000 0.0000 -4.6108 7.9861 0.0000 0.0000 0.0000 5.4498" Properties=species:S:1:pos:R:3 pbc="T T T"
Tb 0.0000 5.3240 1.3624
Tb 4.6108 2.6620 4.0873
Dy -0.6826 1.9543 1.3624
Dy -2.5770 7.6000 1.3624
Dy 1.3512 1.5683 4.0873
Dy 3.2596 6.4178 1.3624
Dy 7.1877 0.3860 4.0873
Dy 5.2933 6.0317 4.0873
Sc -1.3353 3.8453 4.0873
Sc -0.6130 7.2198 4.0873
Sc 2.6625 3.0790 1.3624
Sc 1.9483 4.9070 4.0873
Sc 5.2237 0.7663 1.3624
Sc 5.9460 4.1408 1.3624
```

(10)
The following is a DFT calculation (PBE-GGA) of a relaxed structure of Tb6DySc8.

Properties
formation energy from the elements	0.14	eV per atom
spin magnetization	0.00	μB/f.u.
Fermi-level density of states	1.672	states/eV/atom
uncorrected energy	-5.39	eV per atom

extended XYZ file:
```
15
Lattice="4.2874 2.4754 6.6404 -4.2874 2.4754 6.6404 0.0000 -4.9507 6.6404" Properties=species:S:1:pos:R:3 pbc="T T T"
Tb -2.9475 -1.0872 9.0686
Tb -0.5322 -3.0962 10.8526
Tb -2.4153 2.0090 10.8526
Tb 2.4153 -2.0090 9.0686
Tb 0.5322 3.0962 9.0686
Tb 2.9475 1.0872 10.8526
Dy 0.0000 0.0000 9.9606
Sc 0.0000 0.0000 1.4857
Sc -0.1500 -1.8836 7.1294
Sc -1.5563 1.0717 7.1294
Sc -1.7062 -0.8119 12.7918
Sc 1.7063 0.8119 7.1295
Sc 1.5563 -1.0717 12.7918
Sc 0.1500 1.8836 12.7918
Sc 0.0000 0.0000 18.4355
```

(11)
The following is a DFT calculation (PBE-GGA) of a relaxed structure of TbDy2Sc3.

Properties
formation energy from the elements	0.06	eV per atom
spin magnetization	0.00	μB/f.u.
Fermi-level density of states	1.615	states/eV/atom
distance to the lowest polymorph of the same formula	0	meV per atom
uncorrected energy	-5.41	eV per atom

extended XYZ file:
```
12
Lattice="5.9573 0.0000 0.0000 0.0000 3.4378 0.0000 -1.9946 0.0000 16.4126" Properties=species:S:1:pos:R:3 pbc="T T T"
Tb -0.4991 0.8594 5.4678
Tb 4.4617 2.5783 10.9448
Dy -0.5049 0.8594 16.4122
Dy 1.4850 0.8594 10.9429
Dy 2.4776 2.5783 5.4697
Dy 4.4676 2.5783 0.0004
Sc 0.4947 2.5783 2.7365
Sc 0.4937 2.5783 8.2078
Sc 0.4915 2.5783 13.6734
Sc 3.4712 0.8594 2.7392
Sc 3.4690 0.8594 8.2048
Sc 3.4680 0.8594 13.6761
```

(12)
The following is a DFT calculation (PBE-GGA) of a relaxed structure of Tb6Dy2Sc.

Properties
formation energy from the elements	0.10	eV per atom
spin magnetization	0.00	μB/f.u.
Fermi-level density of states	1.446	states/eV/atom
distance to the lowest polymorph of the same formula	71	meV per atom
uncorrected energy	-4.71	eV per atom

extended XYZ file:
```
18
Lattice="8.0096 -5.7474 0.0000 8.0096 5.7474 0.0000 -0.6344 0.0000 6.0527" Properties=species:S:1:pos:R:3 pbc="T T T"
Tb 6.6189 4.1062 5.9851
Tb 4.5935 1.6294 0.8909
Tb 8.4488 4.1062 3.0940
Tb 5.7818 1.5716 4.0855
Tb 4.2763 -1.6294 3.9173
Tb 9.2860 1.5716 4.9936
Tb 6.0990 -1.5716 1.0591
Tb 11.1086 1.6294 2.1354
Tb 9.6031 -1.5716 1.9672
Tb 6.9361 -4.1062 2.9587
Tb 10.7915 -1.6294 5.1618
Tb 8.7660 -4.1062 0.0676
Dy 2.3579 1.1336 3.4566
Dy 2.6751 -1.1336 0.4302
Dy 12.7098 1.1336 5.6225
Dy 13.0270 -1.1336 2.5961
Sc 7.8511 1.1712 1.5132
Sc 7.5339 -1.1712 4.5395
```

(13)
The following is a DFT calculation (PBE-GGA) of a relaxed structure of Tb3Dy5Sc.

Properties
formation energy from the elements	0.59	eV per atom
spin magnetization	0.00	μB/f.u.
Fermi-level density of states	1.388	states/eV/atom
uncorrected energy	-4.21	eV per atom

extended XYZ file:
```
18
Lattice="6.0438 -5.5650 0.0000 6.0438 5.5650 0.0000 -5.6780 0.0000 9.9276" Properties=species:S:1:pos:R:3 pbc="T T T"
Tb 0.0000 0.0000 0.0000
Tb -2.8390 0.0000 4.9638
Tb 0.6858 0.0000 3.4141
Tb -0.4468 0.0000 7.5238
Tb 6.8565 0.0000 2.4038
Tb 5.7239 0.0000 6.5135
Dy 2.8055 2.7231 1.9635
Dy 6.0438 2.4095 0.0000
Dy 3.6370 0.0000 0.4331
Dy 3.6042 2.7231 7.9641
Dy 2.3985 0.0000 6.2296
Dy 4.0112 0.0000 3.6980
Dy 2.8055 -2.7231 1.9635
Dy 2.7727 0.0000 9.4945
Dy 6.0438 -2.4095 0.0000
Dy 3.6042 -2.7231 7.9641
Sc -3.6698 0.0000 7.8282
Sc 10.0795 0.0000 2.0994
```

(14)
The following is a DFT calculation (PBE-GGA) of a relaxed structure of Tb6Dy4Sc.

Properties
formation energy from the elements	0.14	eV per atom
spin magnetization	0.00	μB/f.u.
Fermi-level density of states	1.817	states/eV/atom
distance to the lowest polymorph of the same formula	0	meV per atom
uncorrected energy	-4.64	eV per atom

extended XYZ file:
```
22
Lattice="2.8321 -4.7712 0.0000 2.8321 4.7712 0.0000 0.0000 0.0000 25.4621" Properties=species:S:1:pos:R:3 pbc="T T T"
Tb 0.0000 0.0000 0.0000
Tb 0.0000 0.0000 12.7310
Tb 2.8321 4.5135 19.0966
Tb 2.8321 1.8550 2.7259
Tb 2.8321 1.8550 10.0052
Tb 2.8321 1.3170 17.3920
Tb 2.8321 1.3170 20.8012
Tb 2.8321 -1.3170 4.6609
Tb 2.8321 -1.3170 8.0701
Tb 2.8321 -1.8550 15.4569
Tb 2.8321 -1.8550 22.7362
Tb 2.8321 -4.5135 6.3655
Dy 2.8321 4.4478 15.8342
Dy 2.8321 4.4478 22.3589
Dy 2.8321 1.4753 13.8482
Dy 2.8321 1.4753 24.3449
Dy 2.8321 -1.4753 1.1172
Dy 2.8321 -1.4753 11.6138
Dy 2.8321 -4.4478 3.1031
Dy 2.8321 -4.4478 9.6279
Sc 2.8321 1.8297 6.3655
Sc 2.8321 -1.8297 19.0966
```

(15)
The following is a DFT calculation (PBE-GGA) of a relaxed structure of Tb4DySc.

Properties
formation energy from the elements	0.03	eV per atom
spin magnetization	0.00	μB/f.u.
Fermi-level density of states	1.404	states/eV/atom
uncorrected energy	-4.88	eV per atom

extended XYZ file:
```
6
Lattice="5.5403 -2.4796 0.0000 5.5403 2.4796 0.0000 -2.2094 0.0000 6.6592" Properties=species:S:1:pos:R:3 pbc="T T T"
Tb 1.0864 0.0000 2.1979
Tb 0.0067 0.0000 5.5634
Tb 8.8644 0.0000 1.0958
Tb 7.7848 0.0000 4.4613
Dy 4.4356 0.0000 3.3296
Sc 5.5403 0.0000 0.0000
```

(16)
The following is a DFT calculation (PBE-GGA) of a relaxed structure of Tb6DySc4.

Properties
formation energy from the elements	0.31	eV per atom
spin magnetization	0.00	μB/f.u.
Fermi-level density of states	1.676	states/eV/atom
distance to the lowest polymorph of the same formula	0	meV per atom
uncorrected energy	-4.94	eV per atom

extended XYZ file:
```
11
Lattice="0.0000 4.9106 8.2139 4.1965 0.0000 8.2139 4.1965 4.9106 0.0000" Properties=species:S:1:pos:R:3 pbc="T T T"
Tb 4.1965 1.8027 8.2139
Tb 2.0983 2.4553 5.4328
Tb 6.8326 4.9106 11.1046
Tb 4.1965 8.0185 8.2139
Tb 6.2948 7.3659 13.6467
Tb 1.5605 4.9106 11.1046
Dy 4.1965 4.9106 13.5946
Sc 5.6466 4.9106 7.9540
Sc 4.1965 3.1368 10.8932
Sc 2.7465 4.9106 7.9540
Sc 4.1965 6.6844 10.8932
```

(17)
The following is a DFT calculation (PBE-GGA) of a relaxed structure of Tb6Dy3Sc2.

Properties
formation energy from the elements	0.30	eV per atom
spin magnetization	0.00	μB/f.u.
Fermi-level density of states	1.610	states/eV/atom
distance to the lowest polymorph of the same formula	97	meV per atom
uncorrected energy	-4.63	eV per atom

extended XYZ file:
```
11
Lattice="-2.3518 2.3518 15.9858 2.3518 -2.3518 15.9858 2.3518 2.3518 -15.9858" Properties=species:S:1:pos:R:3 pbc="T T T"
Tb 2.3518 0.0000 3.7041
Tb 0.0000 0.0000 6.2198
Tb 2.3518 0.0000 12.2817
Tb 0.0000 2.3518 3.7041
Tb 0.0000 0.0000 25.7518
Tb 0.0000 2.3518 12.2817
Dy 0.0000 0.0000 9.6412
Dy 0.0000 0.0000 15.9858
Dy 0.0000 0.0000 22.3305
Sc 0.0000 0.0000 1.3895
Sc 0.0000 0.0000 30.5822
```

(18)
The following is a DFT calculation (PBE-GGA) of a relaxed structure of TbDySc2.

Properties
formation energy from the elements	0.05	eV per atom
spin magnetization	0.00	μB/f.u.
Fermi-level density of states	1.679	states/eV/atom
distance to the lowest polymorph of the same formula	11	meV per atom
uncorrected energy	-5.42	eV per atom

extended XYZ file:
```
4
Lattice="1.7218 0.9941 10.9085 -1.7218 0.9941 10.9085 0.0000 -1.9882 10.9085" Properties=species:S:1:pos:R:3 pbc="T T T"
Tb 0.0000 0.0000 0.0000
Dy 0.0000 0.0000 27.2973
Sc 0.0000 0.0000 8.1928
Sc 0.0000 0.0000 13.6557
```

(19)
The following is a DFT calculation (PBE-GGA) of a relaxed structure of TbDy3Sc2Te6.

Properties
E_form (uncorrected)	-1.220	eV per atom
spin magnetization	0.00	μB/f.u.
Fermi-level density of states	0.620	states/eV/atom
uncorrected energy	-5.38	eV per atom

extended XYZ file:
```
12
Lattice="9.3674 -2.1431 0.0000 9.3674 2.1431 0.0000 -1.9807 0.0000 8.3889" Properties=species:S:1:pos:R:3 pbc="T T T"
Tb 0.0000 0.0000 0.0000
Dy -0.9904 0.0000 4.1945
Dy 6.0160 0.0000 1.4287
Dy 10.7381 0.0000 6.9602
Sc 4.9485 0.0000 5.6175
Sc 11.8056 0.0000 2.7714
Te 2.9990 0.0000 0.7801
Te 2.0601 0.0000 4.8233
Te 7.7842 0.0000 6.2581
Te 8.9699 0.0000 2.1308
Te 14.6940 0.0000 3.5656
Te 13.7552 0.0000 7.6088
```

(20)
The following is a DFT calculation (PBE-GGA) of a relaxed structure of Tb2DyScTe6.

Properties
E_form (uncorrected)	-1.315	eV per atom
spin magnetization	0.00	μB/f.u.
uncorrected energy	-5.22	eV per atom

extended XYZ file:
```
10
Lattice="3.8071 2.1980 6.9421 -3.8071 2.1980 6.9421 0.0000 -4.3961 6.9421" Properties=species:S:1:pos:R:3 pbc="T T T"
Tb 0.0000 0.0000 0.0000
Tb 0.0000 0.0000 10.3830
Dy 0.0000 0.0000 6.5276
Sc 0.0000 0.0000 16.9740
Te -1.3298 -2.0498 8.4420
Te -2.6873 -0.1338 11.8455
Te -1.1103 2.1765 8.4420
Te 1.4596 -2.2604 11.8455
Te 2.4401 -0.1267 8.4420
Te 1.2278 2.3942 11.8455
```